1.
## LaY5Ho12 (PBE)

Data for a relaxed structure of LaY5Ho12.

```
LaY5Ho12
1.0
7.5275 -7.5400 0.0000
7.5275 7.5400 0.0000
0.0000 0.0000 5.0220
La Y Ho
1 5 12
direct
0.0000 0.0000 0.0000
0.1686 0.8314 0.5000
0.3336 0.6664 0.0000
0.5000 0.5000 0.5000
0.6664 0.3336 0.0000
0.8314 0.1686 0.5000
0.0011 0.3366 0.0000
0.1665 0.4988 0.5000
0.1695 0.1695 0.5000
0.3324 0.3324 0.0000
0.3366 0.0011 0.0000
0.4988 0.1665 0.5000
0.5012 0.8335 0.5000
0.6634 0.9989 0.0000
0.6676 0.6676 0.0000
0.8305 0.8305 0.5000
0.8335 0.5012 0.5000
0.9989 0.6634 0.0000
```

Properties
size of the total moment	0.0	μB/cell
V	31.671	A^3/atom
space-group type	Cmmm (65)
DOS at the Fermi energy	26.24	states/eV/f.u.
total DFT energy (no corrections)	-91.71	eV/cell
formation enthalpy at 0 K	0.03	eV per atom

2.
## BaPmMg2 (PBE)

Data for a relaxed structure of BaPmMg2.

```
BaPmMg2
1.0
0.0000 4.0928 4.0928
4.0928 0.0000 4.0928
4.0928 4.0928 0.0000
Ba Pm Mg
1 1 2
direct
0.0000 0.0000 0.0000
0.5000 0.5000 0.5000
0.2500 0.2500 0.2500
0.7500 0.7500 0.7500
```

Properties
offset from the most stable computed form	6.55	kJ per mole of atoms
size of the total moment	0.0	μB/cell
V	34.280	A^3/atom
space-group type	Fm-3m (225)
DOS at the Fermi energy	3.96	states/eV/f.u.
total DFT energy (no corrections)	-9.79	eV/cell
formation enthalpy at 0 K	0.02	eV per atom

3.
## SrZr2In (PBE)

Data for a relaxed structure of SrZr2In.

```
SrZr2In
1.0
3.3976 0.0000 0.0000
0.0000 5.5256 0.0000
0.0000 0.0000 5.6672
Sr Zr In
1 2 1
direct
0.0000 0.0000 0.0000
0.0000 0.5000 0.5000
0.5000 0.0000 0.5000
0.5000 0.5000 0.0000
```

Properties
size of the total moment	0.8	μB/cell
V	26.599	A^3/atom
space-group type	Pmmm (47)
DOS at the Fermi energy	4.80	states/eV/f.u.
total DFT energy (no corrections)	-20.54	eV/cell
formation enthalpy at 0 K	0.24	eV per atom

4.
## LaSc5Al3 (PBE)

Data for a relaxed structure of LaSc5Al3.

```
LaSc5Al3
1.0
8.6718 0.0000 0.0000
-4.3359 7.5100 0.0000
0.0000 0.0000 6.2654
La Sc Al
2 10 6
direct
0.0000 0.0000 0.0000
0.0000 0.0000 0.5000
0.0000 0.3357 0.2500
0.0000 0.6643 0.7500
0.3333 0.6667 0.0000
0.3333 0.6667 0.5000
0.3357 0.0000 0.2500
0.3357 0.3357 0.7500
0.6643 0.0000 0.7500
0.6643 0.6643 0.2500
0.6667 0.3333 0.0000
0.6667 0.3333 0.5000
0.0000 0.3439 0.7500
0.0000 0.6561 0.2500
0.3439 0.0000 0.7500
0.3439 0.3439 0.2500
0.6561 0.0000 0.2500
0.6561 0.6561 0.7500
```

Properties
size of the total moment	0.0	μB/cell
V	22.669	A^3/atom
space-group type	P6_3/mcm (193)
DOS at the Fermi energy	10.35	states/eV/f.u.
total DFT energy (no corrections)	-100.74	eV/cell
formation enthalpy at 0 K	-0.28	eV per atom